Entry 1:
# SrCa2La (PBE, relaxed)
data_SrCa2La
_space_group_name_H-M_alt 'P 1'
_space_group_IT_number 1
_cell_length_a 6.235
_cell_length_b 6.235
_cell_length_c 6.235
_cell_angle_alpha 60.00
_cell_angle_beta 60.00
_cell_angle_gamma 60.00
loop_
_space_group_symop_operation_xyz
'x,y,z'
loop_
_atom_site_label
_atom_site_type_symbol
_atom_site_fract_x
_atom_site_fract_y
_atom_site_fract_z
Sr1 Sr 0.000 0.000 0.000
Ca1 Ca 0.500 0.500 0.500
Ca2 Ca 0.750 0.750 0.750
La1 La 0.250 0.250 0.250
# - Energy of formation from the pure elements: 0.12 eV/atom
# - V: 171.38 Å³/cell
# - DOS at the Fermi energy: 6.4 states/eV/cell
# - Polymorph energy (0 for the lowest one): 55.3 meV/atom

Entry 2:
# LiThAlZn (PBE, relaxed)
data_LiThAlZn
_space_group_name_H-M_alt 'P 1'
_space_group_IT_number 1
_cell_length_a 4.971
_cell_length_b 4.971
_cell_length_c 4.971
_cell_angle_alpha 60.00
_cell_angle_beta 60.00
_cell_angle_gamma 60.00
loop_
_space_group_symop_operation_xyz
'x,y,z'
loop_
_atom_site_label
_atom_site_type_symbol
_atom_site_fract_x
_atom_site_fract_y
_atom_site_fract_z
Li1 Li 0.000 0.000 0.000
Th1 Th 0.500 0.500 0.500
Al1 Al 0.750 0.750 0.750
Zn1 Zn 0.250 0.250 0.250
# - Energy of formation from the pure elements: -0.13 eV/atom
# - V: 86.86 Å³/cell
# - DOS at the Fermi energy: 1.7 states/eV/cell

Entry 3:
# NaGeF3 (PBE, relaxed)
data_NaGeF3
_space_group_name_H-M_alt 'P 1'
_space_group_IT_number 1
_cell_length_a 4.394
_cell_length_b 4.394
_cell_length_c 4.394
_cell_angle_alpha 90.00
_cell_angle_beta 90.00
_cell_angle_gamma 90.00
loop_
_space_group_symop_operation_xyz
'x,y,z'
loop_
_atom_site_label
_atom_site_type_symbol
_atom_site_fract_x
_atom_site_fract_y
_atom_site_fract_z
Na1 Na 0.000 0.000 0.000
Ge1 Ge 0.500 0.500 0.500
F1 F 0.000 0.500 0.500
F2 F 0.500 0.000 0.500
F3 F 0.500 0.500 0.000
# - ΔE_f (raw): -2173 meV/atom
# - V: 84.86 Å³/cell
# - DOS at the Fermi energy: 0.0 states/eV/cell
# - Polymorph energy (0 for the lowest one): 264.0 meV/atom

Entry 4:
# ScBe2In (PBE, relaxed)
data_ScBe2In
_space_group_name_H-M_alt 'P 1'
_space_group_IT_number 1
_cell_length_a 2.984
_cell_length_b 2.984
_cell_length_c 6.998
_cell_angle_alpha 90.00
_cell_angle_beta 90.00
_cell_angle_gamma 90.00
loop_
_space_group_symop_operation_xyz
'x,y,z'
loop_
_atom_site_label
_atom_site_type_symbol
_atom_site_fract_x
_atom_site_fract_y
_atom_site_fract_z
Sc1 Sc 0.000 0.000 0.000
Be1 Be 0.000 0.000 0.390
Be2 Be 0.500 0.500 0.259
In1 In 0.500 0.500 0.659
# - Energy of formation from the pure elements: 0.10 eV/atom
# - V: 62.32 Å³/cell
# - DOS at the Fermi energy: 1.8 states/eV/cell

Entry 5:
# LaSmNiI (PBE, relaxed)
data_LaSmNiI
_space_group_name_H-M_alt 'P 1'
_space_group_IT_number 1
_cell_length_a 8.467
_cell_length_b 8.467
_cell_length_c 8.467
_cell_angle_alpha 28.27
_cell_angle_beta 28.27
_cell_angle_gamma 28.27
loop_
_space_group_symop_operation_xyz
'x,y,z'
loop_
_atom_site_label
_atom_site_type_symbol
_atom_site_fract_x
_atom_site_fract_y
_atom_site_fract_z
La1 La 0.000 0.000 0.000
Sm1 Sm 0.211 0.211 0.211
Ni1 Ni 0.605 0.605 0.605
I1 I 0.776 0.776 0.776
# - ΔE_f (raw): -696 meV/atom
# - V: 120.31 Å³/cell
# - DOS at the Fermi energy: 3.7 states/eV/cell

Entry 6:
# RbTlZnGeSe (PBE, relaxed)
data_RbTlZnGeSe
_space_group_name_H-M_alt 'P 1'
_space_group_IT_number 1
_cell_length_a 3.900
_cell_length_b 4.430
_cell_length_c 9.235
_cell_angle_alpha 86.13
_cell_angle_beta 78.51
_cell_angle_gamma 78.58
loop_
_space_group_symop_operation_xyz
'x,y,z'
loop_
_atom_site_label
_atom_site_type_symbol
_atom_site_fract_x
_atom_site_fract_y
_atom_site_fract_z
Rb1 Rb 0.000 0.000 0.000
Tl1 Tl 0.390 0.510 0.311
Zn1 Zn 0.097 0.665 0.621
Ge1 Ge 0.858 0.193 0.522
Se1 Se 0.557 0.479 0.777
# - ΔE_f (raw): -222 meV/atom
# - V: 153.22 Å³/cell
# - DOS at the Fermi energy: 1.7 states/eV/cell
# - Polymorph energy (0 for the lowest one): 100.5 meV/atom

Entry 7:
# Pr11Dy4Ho9 (PBE, relaxed)
data_Pr11Dy4Ho9
_space_group_name_H-M_alt 'P 1'
_space_group_IT_number 1
_cell_length_a 15.482
_cell_length_b 15.482
_cell_length_c 3.679
_cell_angle_alpha 90.00
_cell_angle_beta 90.00
_cell_angle_gamma 113.10
loop_
_space_group_symop_operation_xyz
'x,y,z'
loop_
_atom_site_label
_atom_site_type_symbol
_atom_site_fract_x
_atom_site_fract_y
_atom_site_fract_z
Pr1 Pr 0.000 0.000 0.000
Pr2 Pr 0.043 0.405 0.000
Pr3 Pr 0.160 0.840 0.000
Pr4 Pr 0.293 0.293 0.000
Pr5 Pr 0.368 0.632 0.000
Pr6 Pr 0.405 0.043 0.000
Pr7 Pr 0.595 0.957 0.000
Pr8 Pr 0.632 0.368 0.000
Pr9 Pr 0.707 0.707 0.000
Pr10 Pr 0.840 0.160 0.000
Pr11 Pr 0.957 0.595 0.000
Dy1 Dy 0.241 0.445 0.500
Dy2 Dy 0.445 0.241 0.500
Dy3 Dy 0.555 0.759 0.500
Dy4 Dy 0.759 0.555 0.500
Ho1 Ho 0.068 0.213 0.500
Ho2 Ho 0.166 0.631 0.500
Ho3 Ho 0.213 0.068 0.500
Ho4 Ho 0.369 0.834 0.500
Ho5 Ho 0.500 0.500 0.500
Ho6 Ho 0.631 0.166 0.500
Ho7 Ho 0.787 0.932 0.500
Ho8 Ho 0.834 0.369 0.500
Ho9 Ho 0.932 0.787 0.500
# - Energy of formation from the pure elements: 0.06 eV/atom
# - V: 811.09 Å³/cell
# - DOS at the Fermi energy: 30.0 states/eV/cell

Entry 8:
# HAuSe (PBE, relaxed)
data_HAuSe
_space_group_name_H-M_alt 'P 1'
_space_group_IT_number 1
_cell_length_a 4.348
_cell_length_b 4.348
_cell_length_c 4.348
_cell_angle_alpha 141.28
_cell_angle_beta 103.04
_cell_angle_gamma 89.67
loop_
_space_group_symop_operation_xyz
'x,y,z'
loop_
_atom_site_label
_atom_site_type_symbol
_atom_site_fract_x
_atom_site_fract_y
_atom_site_fract_z
H1 H 0.000 0.000 0.000
Au1 Au 0.831 0.331 0.500
Se1 Se 0.434 0.434 0.000
# - V: 48.09 Å³/cell
# - DOS at the Fermi energy: 0.4 states/eV/cell
# - Polymorph energy (0 for the lowest one): 280.1 meV/atom

Copy entry 2 word for word.
# LiThAlZn (PBE, relaxed)
data_LiThAlZn
_space_group_name_H-M_alt 'P 1'
_space_group_IT_number 1
_cell_length_a 4.971
_cell_length_b 4.971
_cell_length_c 4.971
_cell_angle_alpha 60.00
_cell_angle_beta 60.00
_cell_angle_gamma 60.00
loop_
_space_group_symop_operation_xyz
'x,y,z'
loop_
_atom_site_label
_atom_site_type_symbol
_atom_site_fract_x
_atom_site_fract_y
_atom_site_fract_z
Li1 Li 0.000 0.000 0.000
Th1 Th 0.500 0.500 0.500
Al1 Al 0.750 0.750 0.750
Zn1 Zn 0.250 0.250 0.250
# - Energy of formation from the pure elements: -0.13 eV/atom
# - V: 86.86 Å³/cell
# - DOS at the Fermi energy: 1.7 states/eV/cell

V of number 7 (Pr11Dy4Ho9)?
811.09 Å³/cell

Which value of V does entry 6 give?
153.22 Å³/cell

Which of these has the lowest DOS at the Fermi energy?
NaGeF3